Compound: PmSc3Tl2
Source: Alexandria
Functional: GGA-PBE
Structure: relaxed

Unit cell a=4.934 b=6.493 c=9.550 alpha=90.00 beta=90.00 gamma=90.00
Atoms (fractional coordinates):
Tl  0.000  0.780  0.351
Tl  0.000  0.280  0.649
Tl  0.500  0.214  0.130
Tl  0.500  0.714  0.870
Sc  0.000  0.823  0.699
Sc  0.000  0.459  0.961
Sc  0.000  0.323  0.301
Sc  0.500  0.174  0.820
Sc  0.000  0.959  0.039
Sc  0.500  0.674  0.180
Pm  0.500  0.549  0.538
Pm  0.500  0.049  0.462

E: -0.3663 Ry per atom
ΔH_f (0 K): -238 meV per atom
mass density: 7.48 g/cm3

Compound: Y2TaTc2
Source: Alexandria
Functional: GGA-PBE
Structure: relaxed

Unit cell a=6.692 b=6.692 c=4.813 alpha=90.00 beta=90.00 gamma=90.00
Atoms (fractional coordinates):
Y  0.177  0.677  0.500
Y  0.677  0.823  0.500
Y  0.323  0.177  0.500
Y  0.823  0.323  0.500
Tc  0.370  0.870  0.000
Tc  0.870  0.630  0.000
Tc  0.130  0.370  0.000
Tc  0.630  0.130  0.000
Ta  0.000  0.000  0.000
Ta  0.500  0.500  0.000

E: -0.6680 Ry per atom
ΔH_f (0 K): 14 meV per atom
mass density: 8.55 g/cm3

Compound: ZrPdSe2
Source: Alexandria
Functional: GGA-PBE
Structure: relaxed

Unit cell a=8.383 b=8.383 c=8.383 alpha=25.76 beta=25.76 gamma=25.76
Atoms (fractional coordinates):
Se  0.100  0.100  0.100
Se  0.900  0.900  0.900
Pd  0.000  0.000  0.000
Zr  0.500  0.500  0.500

E: -0.4361 Ry per atom
formation energy from raw total energies: -0.755 eV per atom
mass density: 6.03 g/cm3

Table of V (Å³/atom), in record order: 25.5; 21.6; 24.5